[1]
VASP calculation (PBE) on an optimized crystal structure of La2ScPt. Values from VASP.

Quantum ESPRESSO input file:
```
&SYSTEM
  ibrav = 0, nat = 4, ntyp = 3
/
ATOMIC_SPECIES
Sc 44.96 Sc.upf
Pt 195.08 Pt.upf
La 138.91 La.upf
CELL_PARAMETERS angstrom
0.000 3.757 3.757
3.757 0.000 3.757
3.757 3.757 0.000
ATOMIC_POSITIONS crystal
Sc 0.000 0.000 0.000
Pt 0.500 0.500 0.500
La 0.250 0.250 0.250
La 0.750 0.750 0.750
```

Computed properties:
ΔE_f   -0.278 eV/atom
Energy relative to the lowest polymorph listed for this composition   28.0 kJ/mol of atoms
Total magnetization   0.000 μB/cell
DOS at the Fermi energy   1.22 states/eV/atom

[2]
VASP calculation (PBE) on an optimized crystal structure of LaSc2Pt. Values from VASP.

Quantum ESPRESSO input file:
```
&SYSTEM
  ibrav = 0, nat = 4, ntyp = 3
/
ATOMIC_SPECIES
La 138.91 La.upf
Pt 195.08 Pt.upf
Sc 44.96 Sc.upf
CELL_PARAMETERS angstrom
6.299 -0.024 0.009
5.344 3.334 0.009
2.151 0.611 4.710
ATOMIC_POSITIONS crystal
La 0.750 0.750 0.750
Pt 0.250 0.250 0.250
Sc 0.952 0.952 0.048
Sc 0.548 0.548 0.452
```

Computed properties:
ΔE_f   -0.558 eV/atom
Total magnetization   0.001 μB/cell
DOS at the Fermi energy   1.46 states/eV/atom

[3]
VASP calculation (PBE) on an optimized crystal structure of La2ScSi3Pt12. Values from VASP.

Quantum ESPRESSO input file:
```
&SYSTEM
  ibrav = 0, nat = 18, ntyp = 4
/
ATOMIC_SPECIES
La 138.91 La.upf
Sc 44.96 Sc.upf
Si 28.09 Si.upf
Pt 195.08 Pt.upf
CELL_PARAMETERS angstrom
-3.560 -3.251 -6.049
3.994 -5.603 -3.534
-2.636 -7.170 1.211
ATOMIC_POSITIONS crystal
La 0.606 0.606 0.606
La 0.394 0.394 0.394
Sc 0.000 0.000 0.000
Si 0.500 0.000 0.000
Si 0.000 0.500 0.000
Si 0.000 0.000 0.500
Pt 0.351 0.351 0.900
Pt 0.864 0.864 0.384
Pt 0.384 0.864 0.864
Pt 0.900 0.351 0.351
Pt 0.864 0.384 0.864
Pt 0.351 0.900 0.351
Pt 0.649 0.649 0.100
Pt 0.136 0.136 0.616
Pt 0.616 0.136 0.136
Pt 0.100 0.649 0.649
Pt 0.136 0.616 0.136
Pt 0.649 0.100 0.649
```

Computed properties:
Raw formation energy   -11.02 eV/f.u.
Total magnetization   0.000 μB/cell
DOS at the Fermi energy   0.47 states/eV/atom

[4]
VASP calculation (PBE) on an optimized crystal structure of LaScSi2Pt2. Values from VASP.

Quantum ESPRESSO input file:
```
&SYSTEM
  ibrav = 0, nat = 6, ntyp = 4
/
ATOMIC_SPECIES
La 138.91 La.upf
Sc 44.96 Sc.upf
Si 28.09 Si.upf
Pt 195.08 Pt.upf
CELL_PARAMETERS angstrom
-0.426 -3.664 2.236
1.177 -0.129 -4.148
6.918 0.386 1.952
ATOMIC_POSITIONS crystal
La 0.000 0.000 0.000
Sc 0.000 0.000 0.500
Si 0.667 0.333 0.703
Si 0.333 0.667 0.297
Pt 0.667 0.333 0.308
Pt 0.333 0.667 0.692
```

Computed properties:
Raw formation energy   -7.05 eV/f.u.
Total magnetization   0.000 μB/cell
DOS at the Fermi energy   0.49 states/eV/atom

[5]
VASP calculation (PBE) on an optimized crystal structure of LaSc2SnPt. Values from VASP.

Quantum ESPRESSO input file:
```
&SYSTEM
  ibrav = 0, nat = 5, ntyp = 4
/
ATOMIC_SPECIES
Sc 44.96 Sc.upf
Sn 118.71 Sn.upf
Pt 195.08 Pt.upf
La 138.91 La.upf
CELL_PARAMETERS angstrom
5.158 0.000 0.000
0.000 5.479 0.000
0.000 0.000 5.158
ATOMIC_POSITIONS crystal
Sc 0.000 0.000 0.500
Sc 0.500 0.000 0.000
Sn 0.500 0.500 0.500
Pt 0.000 0.000 0.000
La 0.000 0.500 0.000
```

Computed properties:
ΔE_f   -0.531 eV/atom
Total magnetization   0.000 μB/cell
DOS at the Fermi energy   1.46 states/eV/atom

[6]
VASP calculation (PBE) on an optimized crystal structure of La2ScSn3Pt4. Values from VASP.

Quantum ESPRESSO input file:
```
&SYSTEM
  ibrav = 0, nat = 10, ntyp = 4
/
ATOMIC_SPECIES
La 138.91 La.upf
Sc 44.96 Sc.upf
Sn 118.71 Sn.upf
Pt 195.08 Pt.upf
CELL_PARAMETERS angstrom
4.623 0.000 0.000
0.000 4.623 0.000
0.000 0.000 10.816
ATOMIC_POSITIONS crystal
La 0.500 0.000 0.233
La 0.000 0.500 0.767
Sc 0.500 0.500 0.500
Sn 0.000 0.000 0.500
Sn 0.500 0.000 0.873
Sn 0.000 0.500 0.127
Pt 0.500 0.500 0.000
Pt 0.000 0.000 0.000
Pt 0.500 0.000 0.632
Pt 0.000 0.500 0.368
```

Computed properties:
ΔE_f   -0.968 eV/atom
Total magnetization   0.000 μB/cell
DOS at the Fermi energy   0.71 states/eV/atom

[7]
VASP calculation (PBE) on an optimized crystal structure of LaScTaPt2. Values from VASP.

Quantum ESPRESSO input file:
```
&SYSTEM
  ibrav = 0, nat = 5, ntyp = 4
/
ATOMIC_SPECIES
Sc 44.96 Sc.upf
La 138.91 La.upf
Pt 195.08 Pt.upf
Ta 180.95 Ta.upf
CELL_PARAMETERS angstrom
4.959 0.000 0.000
0.000 5.282 0.000
0.000 0.000 4.959
ATOMIC_POSITIONS crystal
Sc 0.500 0.500 0.500
La 0.000 0.500 0.000
Pt 0.000 0.000 0.500
Pt 0.500 0.000 0.000
Ta 0.000 0.000 0.000
```

Computed properties:
ΔE_f   0.387 eV/atom
Total magnetization   0.669 μB/cell
DOS at the Fermi energy   1.03 states/eV/atom

[8]
VASP calculation (PBE) on an optimized crystal structure of LaScTe2Pt. Values from VASP.

Quantum ESPRESSO input file:
```
&SYSTEM
  ibrav = 0, nat = 5, ntyp = 4
/
ATOMIC_SPECIES
Sc 44.96 Sc.upf
Te 127.60 Te.upf
Pt 195.08 Pt.upf
La 138.91 La.upf
CELL_PARAMETERS angstrom
-4.476 2.611 3.094
-0.985 -4.475 2.351
3.880 1.451 4.389
ATOMIC_POSITIONS crystal
Sc 0.500 0.500 0.500
Te 0.000 0.000 0.500
Te 0.500 0.000 0.000
Pt 0.000 0.500 0.000
La 0.000 0.000 0.000
```

Computed properties:
Raw formation energy   0.13 eV/f.u.
Total magnetization   0.290 μB/cell
DOS at the Fermi energy   0.90 states/eV/atom

[9]
VASP calculation (PBE) on an optimized crystal structure of LaScZnPt2. Values from VASP.

Quantum ESPRESSO input file:
```
&SYSTEM
  ibrav = 0, nat = 5, ntyp = 4
/
ATOMIC_SPECIES
La 138.91 La.upf
Sc 44.96 Sc.upf
Zn 65.41 Zn.upf
Pt 195.08 Pt.upf
CELL_PARAMETERS angstrom
4.104 0.000 0.000
0.000 4.104 0.000
-2.052 -2.052 6.275
ATOMIC_POSITIONS crystal
La 0.000 0.000 0.000
Sc 0.750 0.250 0.500
Zn 0.250 0.750 0.500
Pt 0.610 0.610 0.220
Pt 0.390 0.390 0.780
```

Computed properties:
ΔE_f   -1.011 eV/atom
Total magnetization   0.000 μB/cell
DOS at the Fermi energy   0.59 states/eV/atom

[10]
VASP calculation (PBE) on an optimized crystal structure of LaScZn2Pt2. Values from VASP.

Quantum ESPRESSO input file:
```
&SYSTEM
  ibrav = 0, nat = 6, ntyp = 4
/
ATOMIC_SPECIES
La 138.91 La.upf
Sc 44.96 Sc.upf
Zn 65.41 Zn.upf
Pt 195.08 Pt.upf
CELL_PARAMETERS angstrom
-2.075 3.561 1.739
-2.351 -3.105 -2.200
-0.969 -3.447 5.900
ATOMIC_POSITIONS crystal
La 0.000 0.000 0.000
Sc 0.000 0.000 0.500
Zn 0.667 0.333 0.301
Zn 0.333 0.667 0.699
Pt 0.667 0.333 0.707
Pt 0.333 0.667 0.293
```

Computed properties:
ΔE_f   -0.891 eV/atom
Total magnetization   0.000 μB/cell
DOS at the Fermi energy   0.84 states/eV/atom

[11]
VASP calculation (PBE) on an optimized crystal structure of La2ZrScPt2. Values from VASP.

Quantum ESPRESSO input file:
```
&SYSTEM
  ibrav = 0, nat = 12, ntyp = 4
/
ATOMIC_SPECIES
La 138.91 La.upf
Zr 91.22 Zr.upf
Sc 44.96 Sc.upf
Pt 195.08 Pt.upf
CELL_PARAMETERS angstrom
-4.256 4.565 2.328
0.065 -2.980 5.961
7.405 3.175 -2.219
ATOMIC_POSITIONS crystal
La 0.444 0.188 0.377
La 0.556 0.812 0.623
La 0.068 0.312 0.623
La 0.932 0.688 0.377
Zr 0.000 0.750 0.000
Zr 0.000 0.250 0.000
Sc 0.500 0.750 0.000
Sc 0.500 0.250 0.000
Pt 0.854 0.101 0.202
Pt 0.348 0.601 0.202
Pt 0.652 0.399 0.798
Pt 0.146 0.899 0.798
```

Computed properties:
ΔE_f   -0.877 eV/atom
Total magnetization   0.000 μB/cell
DOS at the Fermi energy   0.93 states/eV/atom

[12]
VASP calculation (PBE) on an optimized crystal structure of LaPtSe2. Values from VASP.

Quantum ESPRESSO input file:
```
&SYSTEM
  ibrav = 0, nat = 4, ntyp = 3
/
ATOMIC_SPECIES
La 138.91 La.upf
Pt 195.08 Pt.upf
Se 78.96 Se.upf
CELL_PARAMETERS angstrom
5.224 -0.038 0.004
0.561 5.194 -0.004
-2.233 -3.318 3.361
ATOMIC_POSITIONS crystal
La 0.750 0.250 0.500
Pt 0.250 0.750 0.500
Se 0.052 0.052 0.000
Se 0.448 0.448 0.000
```

Computed properties:
Energy relative to the lowest polymorph listed for this composition   11.5 kJ/mol of atoms
Raw formation energy   -4.29 eV/f.u.
Total magnetization   0.001 μB/cell
DOS at the Fermi energy   0.78 states/eV/atom

[13]
VASP calculation (PBE) on an optimized crystal structure of LaPt2Se. Values from VASP.

Quantum ESPRESSO input file:
```
&SYSTEM
  ibrav = 0, nat = 4, ntyp = 3
/
ATOMIC_SPECIES
La 138.91 La.upf
Pt 195.08 Pt.upf
Se 78.96 Se.upf
CELL_PARAMETERS angstrom
-0.860 -4.336 -1.255
-0.750 -0.952 3.803
-4.859 1.074 -0.381
ATOMIC_POSITIONS crystal
La 0.500 0.753 0.765
Pt 0.000 0.200 0.983
Pt 0.500 0.230 0.262
Se 0.000 0.317 0.490
```

Computed properties:
Raw formation energy   -3.55 eV/f.u.
Total magnetization   0.000 μB/cell
DOS at the Fermi energy   0.60 states/eV/atom

[14]
VASP calculation (PBE) on an optimized crystal structure of LaPtSe2. Values from VASP.

Quantum ESPRESSO input file:
```
&SYSTEM
  ibrav = 0, nat = 4, ntyp = 3
/
ATOMIC_SPECIES
Se 78.96 Se.upf
Pt 195.08 Pt.upf
La 138.91 La.upf
CELL_PARAMETERS angstrom
-3.159 5.693 6.056
-4.527 2.348 7.284
-0.962 3.390 8.163
ATOMIC_POSITIONS crystal
Se 0.884 0.884 0.884
Se 0.116 0.116 0.116
Pt 0.500 0.500 0.500
La 0.000 0.000 0.000
```

Computed properties:
Energy relative to the lowest polymorph listed for this composition   76.9 kJ/mol of atoms
Raw formation energy   -1.58 eV/f.u.
Total magnetization   0.000 μB/cell
DOS at the Fermi energy   1.12 states/eV/atom

[15]
VASP calculation (PBE) on an optimized crystal structure of La2PtSe. Values from VASP.

Quantum ESPRESSO input file:
```
&SYSTEM
  ibrav = 0, nat = 8, ntyp = 3
/
ATOMIC_SPECIES
Se 78.96 Se.upf
Pt 195.08 Pt.upf
La 138.91 La.upf
CELL_PARAMETERS angstrom
-3.092 -5.172 -4.814
-2.123 -4.331 6.018
-6.243 -2.736 0.771
ATOMIC_POSITIONS crystal
Se 0.500 0.500 0.000
Se 0.250 0.750 0.500
Pt 0.000 0.000 0.000
Pt 0.750 0.250 0.500
La 0.641 0.125 0.250
La 0.109 0.625 0.250
La 0.375 0.359 0.750
La 0.875 0.891 0.750
```

Computed properties:
Raw formation energy   -4.92 eV/f.u.
Total magnetization   0.000 μB/cell
DOS at the Fermi energy   0.83 states/eV/atom

[16]
VASP calculation (PBE) on an optimized crystal structure of LaPtSe2. Values from VASP.

Quantum ESPRESSO input file:
```
&SYSTEM
  ibrav = 0, nat = 4, ntyp = 3
/
ATOMIC_SPECIES
La 138.91 La.upf
Pt 195.08 Pt.upf
Se 78.96 Se.upf
CELL_PARAMETERS angstrom
-4.031 3.116 2.640
-5.083 -1.279 2.337
-2.021 0.113 5.370
ATOMIC_POSITIONS crystal
La 0.250 0.250 0.250
Pt 0.750 0.750 0.750
Se 0.019 0.019 0.019
Se 0.481 0.481 0.481
```

Computed properties:
Energy relative to the lowest polymorph listed for this composition   21.7 kJ/mol of atoms
Raw formation energy   -3.87 eV/f.u.
Total magnetization   0.000 μB/cell
DOS at the Fermi energy   0.80 states/eV/atom

[17]
VASP calculation (PBE) on an optimized crystal structure of La2PtSe. Values from VASP.

Quantum ESPRESSO input file:
```
&SYSTEM
  ibrav = 0, nat = 4, ntyp = 3
/
ATOMIC_SPECIES
La 138.91 La.upf
Pt 195.08 Pt.upf
Se 78.96 Se.upf
CELL_PARAMETERS angstrom
7.957 -0.041 -0.025
6.692 4.306 -0.025
6.692 1.948 3.840
ATOMIC_POSITIONS crystal
La 0.040 0.040 0.040
La 0.211 0.211 0.211
Pt 0.488 0.488 0.488
Se 0.761 0.761 0.761
```

Computed properties:
Raw formation energy   -3.42 eV/f.u.
Total magnetization   0.009 μB/cell
DOS at the Fermi energy   0.51 states/eV/atom

[18]
VASP calculation (PBE) on an optimized crystal structure of LaPt2Se. Values from VASP.

Quantum ESPRESSO input file:
```
&SYSTEM
  ibrav = 0, nat = 4, ntyp = 3
/
ATOMIC_SPECIES
La 138.91 La.upf
Pt 195.08 Pt.upf
Se 78.96 Se.upf
CELL_PARAMETERS angstrom
-3.910 0.407 1.757
1.320 -1.753 3.345
1.388 4.810 1.974
ATOMIC_POSITIONS crystal
La 0.500 0.750 0.750
Pt 0.000 0.250 0.993
Pt 0.000 0.250 0.507
Se 0.500 0.250 0.250
```

Computed properties:
Raw formation energy   -3.81 eV/f.u.
Total magnetization   0.000 μB/cell
DOS at the Fermi energy   0.25 states/eV/atom

[19]
VASP calculation (PBE) on an optimized crystal structure of La3PtSe2. Values from VASP.

Quantum ESPRESSO input file:
```
&SYSTEM
  ibrav = 0, nat = 6, ntyp = 3
/
ATOMIC_SPECIES
La 138.91 La.upf
Pt 195.08 Pt.upf
Se 78.96 Se.upf
CELL_PARAMETERS angstrom
-4.136 0.579 0.380
-0.367 -5.031 3.665
3.268 6.010 3.273
ATOMIC_POSITIONS crystal
La 0.345 0.345 0.690
La 0.000 0.000 0.000
La 0.655 0.655 0.310
Pt 0.000 0.500 0.000
Se 0.671 0.171 0.341
Se 0.329 0.829 0.659
```

Computed properties:
Raw formation energy   -10.10 eV/f.u.
Total magnetization   0.001 μB/cell
DOS at the Fermi energy   0.98 states/eV/atom

[20]
VASP calculation (PBE) on an optimized crystal structure of LaPtSe2. Values from VASP.

Quantum ESPRESSO input file:
```
&SYSTEM
  ibrav = 0, nat = 8, ntyp = 3
/
ATOMIC_SPECIES
Se 78.96 Se.upf
Pt 195.08 Pt.upf
La 138.91 La.upf
CELL_PARAMETERS angstrom
-2.723 1.753 -4.176
4.071 -1.187 -3.153
-2.282 -6.932 -4.765
ATOMIC_POSITIONS crystal
Se 0.690 0.125 0.250
Se 0.060 0.625 0.250
Se 0.375 0.310 0.750
Se 0.875 0.940 0.750
Pt 0.000 0.000 0.000
Pt 0.750 0.250 0.500
La 0.500 0.500 0.000
La 0.250 0.750 0.500
```

Computed properties:
Energy relative to the lowest polymorph listed for this composition   26.2 kJ/mol of atoms
Raw formation energy   -3.68 eV/f.u.
Total magnetization   0.000 μB/cell
DOS at the Fermi energy   0.64 states/eV/atom